No. 1
Pm2NdTh PBE relaxed; ΔH_f (0 K) = 0.03 eV per atom
1.0
-2.228 0.612 -2.792
0.481 -3.409 -1.131
-8.081 -3.059 5.778
Th Pm Nd
1 2 1
direct
0.500 0.500 0.000 Th
0.000 0.000 0.238 Pm
0.000 0.000 0.762 Pm
0.500 0.500 0.500 Nd

***

No. 2
Pm12Nd2Th PBE relaxed; ΔH_f (0 K) = 0.33 eV per atom
1.0
-1.178 5.312 -3.680
-6.432 -0.568 1.207
2.540 14.746 20.471
Pm Th Nd
24 2 4
direct
0.168 0.668 0.562 Pm
0.690 0.810 0.889 Pm
0.190 0.310 0.111 Pm
0.000 0.000 0.213 Pm
0.500 0.500 0.337 Pm
0.332 0.168 0.562 Pm
0.668 0.832 0.562 Pm
0.310 0.190 0.889 Pm
0.690 0.190 0.111 Pm
0.500 0.500 0.787 Pm
0.668 0.168 0.438 Pm
0.832 0.668 0.438 Pm
0.000 0.000 0.663 Pm
0.000 0.000 0.787 Pm
0.190 0.690 0.889 Pm
0.810 0.690 0.111 Pm
0.810 0.310 0.889 Pm
0.168 0.332 0.438 Pm
0.310 0.810 0.111 Pm
0.500 0.500 0.663 Pm
0.000 0.000 0.337 Pm
0.832 0.332 0.562 Pm
0.332 0.832 0.438 Pm
0.500 0.500 0.213 Pm
0.500 0.000 0.000 Th
0.000 0.500 0.000 Th
0.500 0.000 0.268 Nd
0.000 0.500 0.268 Nd
0.500 0.000 0.732 Nd
0.000 0.500 0.732 Nd

***

No. 3
Pm3Nd2Th2 PBE relaxed; ΔH_f (0 K) = 0.04 eV per atom
1.0
3.601 0.323 0.394
0.968 11.898 -1.789
1.309 -1.424 5.988
Pm Nd Th
3 2 2
direct
0.433 0.421 0.710 Pm
0.000 0.000 0.000 Pm
0.567 0.579 0.290 Pm
0.708 0.717 0.866 Nd
0.292 0.283 0.134 Nd
0.148 0.136 0.568 Th
0.852 0.864 0.432 Th

***

No. 4
PmNdTh2 PBE relaxed; ΔH_f (0 K) = 0.09 eV per atom
1.0
-1.281 3.288 -0.572
-2.987 -0.856 1.768
4.348 3.246 8.919
Th Nd Pm
2 1 1
direct
0.000 0.000 0.751 Th
0.000 0.000 0.249 Th
0.500 0.500 0.500 Nd
0.500 0.500 0.000 Pm

***

No. 5
PmNdTh2 PBE relaxed; ΔH_f (0 K) = 0.06 eV per atom
1.0
-2.038 2.931 0.542
-0.567 1.210 3.355
8.698 8.188 0.459
Th Pm Nd
2 1 1
direct
0.250 0.250 0.249 Th
0.750 0.750 0.751 Th
0.000 0.000 0.000 Pm
0.500 0.500 0.500 Nd

***

No. 6
Pm2NdTh PBE relaxed; ΔH_f (0 K) = 0.13 eV per atom
1.0
3.568 0.000 0.000
1.784 3.090 0.000
1.784 1.030 12.567
Pm Nd Th
2 1 1
direct
0.091 0.091 0.726 Pm
0.909 0.909 0.274 Pm
0.000 0.000 0.000 Nd
0.500 0.500 0.500 Th

***

No. 7
Pm2Nd12Th PBE relaxed; ΔH_f (0 K) = 0.16 eV per atom
1.0
6.698 -1.607 0.000
-1.607 6.698 0.000
0.000 0.000 25.257
Nd Pm Th
24 4 2
direct
0.725 0.775 0.560 Nd
0.252 0.248 0.074 Nd
0.000 0.000 0.326 Nd
0.500 0.500 0.326 Nd
0.000 0.000 0.199 Nd
0.748 0.752 0.074 Nd
0.500 0.500 0.674 Nd
0.225 0.275 0.440 Nd
0.248 0.252 0.926 Nd
0.749 0.249 0.875 Nd
0.500 0.500 0.199 Nd
0.000 0.000 0.801 Nd
0.270 0.770 0.417 Nd
0.230 0.730 0.583 Nd
0.752 0.748 0.926 Nd
0.249 0.749 0.125 Nd
0.251 0.751 0.875 Nd
0.730 0.230 0.417 Nd
0.775 0.725 0.440 Nd
0.751 0.251 0.125 Nd
0.500 0.500 0.801 Nd
0.000 0.000 0.674 Nd
0.275 0.225 0.560 Nd
0.770 0.270 0.583 Nd
0.500 0.000 0.267 Pm
0.500 0.000 0.727 Pm
0.000 0.500 0.733 Pm
0.000 0.500 0.273 Pm
0.000 0.500 0.001 Th
0.500 0.000 0.999 Th

***

No. 8
PmNd12Th7 PBE relaxed; ΔH_f (0 K) = 0.85 eV per atom
1.0
9.514 0.000 -3.364
-4.757 8.239 -3.364
0.000 0.000 10.091
Th Nd Pm
7 12 1
direct
0.500 0.500 0.000 Th
0.500 0.500 0.500 Th
0.500 0.000 0.000 Th
0.000 0.500 0.000 Th
0.000 0.000 0.500 Th
0.000 0.500 0.500 Th
0.500 0.000 0.500 Th
0.772 0.464 0.692 Nd
0.308 0.772 0.080 Nd
0.464 0.692 0.772 Nd
0.920 0.692 0.228 Nd
0.692 0.772 0.464 Nd
0.772 0.080 0.308 Nd
0.228 0.920 0.692 Nd
0.692 0.228 0.920 Nd
0.536 0.308 0.228 Nd
0.080 0.308 0.772 Nd
0.228 0.536 0.308 Nd
0.308 0.228 0.536 Nd
0.000 0.000 0.000 Pm

***

No. 9
Pm10Nd4Th PBE relaxed; ΔH_f (0 K) = 0.42 eV per atom
1.0
10.629 0.000 4.799
5.314 6.991 2.400
2.437 0.000 8.772
Pm Th Nd
10 1 4
direct
0.394 0.896 0.654 Pm
0.290 0.654 0.104 Pm
0.048 0.346 0.896 Pm
0.944 0.104 0.346 Pm
0.710 0.346 0.896 Pm
0.750 0.500 0.500 Pm
0.250 0.500 0.500 Pm
0.606 0.104 0.346 Pm
0.952 0.654 0.104 Pm
0.056 0.896 0.654 Pm
0.000 0.000 0.000 Th
0.189 0.245 0.377 Nd
0.811 0.755 0.623 Nd
0.566 0.623 0.245 Nd
0.434 0.377 0.755 Nd

***

No. 10
PmNd2Th PBE relaxed; ΔH_f (0 K) = 0.03 eV per atom
1.0
-2.776 2.342 -0.324
1.039 -2.004 -2.864
-15.157 -17.076 6.451
Pm Nd Th
2 4 2
direct
0.667 0.333 0.250 Pm
0.333 0.667 0.750 Pm
0.333 0.667 0.378 Nd
0.333 0.667 0.122 Nd
0.667 0.333 0.878 Nd
0.667 0.333 0.622 Nd
0.000 0.000 0.500 Th
0.000 0.000 0.000 Th

***

No. 11
Pm6Nd12Th PBE relaxed; ΔH_f (0 K) = 0.12 eV per atom
1.0
8.772 0.333 -1.539
-1.887 8.573 -1.539
0.258 0.333 8.902
Nd Pm Th
12 6 1
direct
0.829 0.416 0.416 Nd
0.171 0.584 0.584 Nd
0.738 0.262 0.000 Nd
0.262 0.000 0.738 Nd
0.738 0.000 0.262 Nd
0.416 0.416 0.829 Nd
0.584 0.584 0.171 Nd
0.000 0.738 0.262 Nd
0.000 0.262 0.738 Nd
0.262 0.738 0.000 Nd
0.584 0.171 0.584 Nd
0.416 0.829 0.416 Nd
0.860 0.860 0.596 Pm
0.596 0.860 0.860 Pm
0.140 0.404 0.140 Pm
0.140 0.140 0.404 Pm
0.860 0.596 0.860 Pm
0.404 0.140 0.140 Pm
0.000 0.000 0.000 Th

***

No. 12
Pm4Nd5Th PBE relaxed; ΔH_f (0 K) = 0.03 eV per atom
1.0
3.659 0.000 0.000
0.000 3.659 0.000
0.000 0.000 26.021
Nd Pm Th
5 4 1
direct
0.500 0.500 0.905 Nd
0.500 0.500 0.299 Nd
0.500 0.500 0.701 Nd
0.500 0.500 0.500 Nd
0.500 0.500 0.095 Nd
0.000 0.000 0.200 Pm
0.000 0.000 0.600 Pm
0.000 0.000 0.800 Pm
0.000 0.000 0.400 Pm
0.000 0.000 0.000 Th